[1]
Compound: BaLi2Nd2Sb2
Source: Alexandria via LeMat-Bulk
Functional: PBE
Structure: relaxed

abc: 4.9085 4.9085 29.8036
angles: 90.00 90.00 120.00
Closest atoms and distances in Å follow each position.
Space group R-3m (No. 166, hexagonal axes)
Asymmetric unit:
1 Ba 0.0000 0.0000 0.0000  6 Sb 3.70, 6 Li 3.82, 2 Nd 3.98
2 Li 0.0000 0.0000 0.4194  3 Sb 2.84, 3 Nd 3.17
3 Nd 0.0000 0.0000 0.1336  3 Li 3.17, 3 Sb 3.25, 3 Nd 3.45
4 Sb 0.0000 0.0000 0.2533  3 Li 2.84

Output
- energy relative to the elements, uncorrected (eV/atom) = -0.643

---

[2]
Compound: CaOs2PtW
Source: Alexandria via LeMat-Bulk
Functional: PBE
Structure: relaxed

abc: 4.5591 4.5591 4.5180
angles: 90.00 90.00 90.00
Closest atoms and distances in Å follow each position.
Space group P4/mmm (No. 123)
Asymmetric unit:
1 Ca 0.0000 0.0000 0.0000  2 W 2.26, 4 Os 2.28
2 Os 0.0000 0.5000 0.0000  2 Ca 2.28
3 Pt 0.5000 0.5000 0.5000  8 Os 3.21, 4 W 3.22
4 W 0.0000 0.0000 0.5000  2 Ca 2.26

Output
- formation enthalpy at 0 K (eV per atom) = 3.09

---

[3]
Compound: Rb2LiHg2Cl6
Source: Alexandria via LeMat-Bulk
Functional: PBE
Structure: relaxed

abc: 13.0092 7.6449 8.2028
angles: 90.00 120.22 90.00
Closest atoms and distances in Å follow each position.
Space group C2/m (No. 12)
Asymmetric unit:
1 Rb 0.2189 0.0000 0.1781  5 Cl 3.26-3.41
2 Li 0.0000 0.0000 0.5000  6 Cl 2.63-2.69
3 Hg 0.0510 0.5000 0.1965  3 Cl 2.51-2.61, 1 Hg 2.80
4 Cl 0.0597 0.2280 0.7739  1 Hg 2.61, 1 Li 2.63
5 Cl 0.2277 0.0000 0.5824  1 Hg 2.51, 1 Li 2.69

Output
- energy relative to the elements, uncorrected (eV/atom) = -1.203

---

[4]
Compound: Ca2Cd5Ag5
Source: Alexandria via LeMat-Bulk
Functional: PBE
Structure: relaxed

abc: 4.7660 5.7994 9.9572
angles: 90.00 90.00 90.00
Closest atoms and distances in Å follow each position.
Space group Pmmm (No. 47)
Asymmetric unit:
1 Ca 0.0000 0.0000 0.0000  6 Ag 3.33, 8 Cd 3.70
2 Ca 0.0000 0.5000 0.5000  6 Ag 3.34-3.35
3 Cd 0.5000 0.0000 0.5000  4 Ag 2.90, 4 Cd 2.93
4 Cd 0.5000 0.2501 0.2445  5 Ag 2.83-2.93, 3 Cd 2.90-2.93
5 Ag 0.0000 0.0000 0.3342  6 Cd 2.90-2.93
6 Ag 0.0000 0.5000 0.1636  2 Ag 2.89, 4 Cd 2.90
7 Ag 0.5000 0.5000 0.0000  4 Cd 2.83, 4 Ag 2.89

Output
- formation enthalpy at 0 K (eV per atom) = -0.20
- energy above the most stable polymorph in this dataset (eV/f.u.) = 0.000

---

[5]
Compound: LaHo3Ag2
Source: Alexandria via LeMat-Bulk
Functional: PBE
Structure: relaxed

abc: 3.6309 3.6309 12.4181
angles: 90.00 90.00 90.00
Closest atoms and distances in Å follow each position.
Space group P4/mmm (No. 123)
Asymmetric unit:
1 La 0.0000 0.0000 0.0000  4 La 3.63, 8 Ho 3.67
2 Ho 0.5000 0.5000 0.2114  4 Ag 3.11
3 Ho 0.5000 0.5000 0.5000  8 Ag 3.15
4 Ag 0.0000 0.0000 0.3529  8 Ho 3.11-3.15

Output
- formation enthalpy at 0 K (eV per atom) = -0.20

---

[6]
Compound: Cu2Hg3Se4
Source: Alexandria via LeMat-Bulk
Functional: PBE
Structure: relaxed

abc: 11.1349 11.8723 6.9827
angles: 90.00 98.57 90.00
Closest atoms and distances in Å follow each position.
Space group C2/c (No. 15)
Asymmetric unit:
1 Cu 0.2007 0.1300 0.3365  4 Se 2.45-2.55
2 Hg 0.0000 0.1311 0.7500  4 Se 2.68-2.87
3 Hg 0.1275 0.3380 0.1075  3 Se 2.60-2.87
4 Se 0.1054 0.2833 0.5016  2 Cu 2.48-2.51, 1 Hg 2.67
5 Se 0.1888 0.0593 0.0041  2 Cu 2.45-2.55, 2 Hg 2.60-2.68

Output
- energy relative to the elements, uncorrected (eV/atom) = -0.100

---

[7]
Compound: ZnInAs2Br
Source: Alexandria via LeMat-Bulk
Functional: PBE
Structure: relaxed

abc: 4.8275 4.8275 5.8709
angles: 90.00 90.00 90.00
Closest atoms and distances in Å follow each position.
Space group P4/mmm (No. 123)
Asymmetric unit:
1 Zn 0.0000 0.0000 0.0000  4 As 2.41
2 In 0.5000 0.5000 0.5000  4 Br 3.41, 8 As 3.80
3 As 0.0000 0.5000 0.0000  2 Zn 2.41
4 Br 0.0000 0.0000 0.5000  2 Zn 2.94

Output
- energy above the most stable polymorph in this dataset (eV/f.u.) = 0.000
- energy relative to the elements, uncorrected (eV/atom) = 0.306

---

[8]
Compound: TeRh2
Source: Alexandria via LeMat-Bulk
Functional: PBE
Structure: relaxed

abc: 3.6189 3.6189 7.9004
angles: 90.00 90.00 90.00
Closest atoms and distances in Å follow each position.
Space group I4/mmm (No. 139)
Asymmetric unit:
1 Te 0.0000 0.0000 0.0000  2 Rh 2.58
2 Rh 0.0000 0.0000 0.3260  1 Te 2.58, 5 Rh 2.75-2.83

Output
- energy above the most stable polymorph in this dataset (eV/f.u.) = 0.714
- energy relative to the elements, uncorrected (eV/atom) = 0.068

---

Number 1: DOS(E_F) 17.91 states/eV per cell, calculated total energy -0.29432 Ry/atom. Number 2: DOS(E_F) 5.09 states/eV per cell, calculated total energy -0.41148 Ry/atom. Number 3: DOS(E_F) 10.45 states/eV per cell, calculated total energy -0.19219 Ry/atom. Number 4: DOS(E_F) 4.26 states/eV per cell, calculated total energy -0.15475 Ry/atom. Number 5: DOS(E_F) 6.27 states/eV per cell, calculated total energy -0.31295 Ry/atom. Number 6: DOS(E_F) 1.35 states/eV per cell, calculated total energy -0.19551 Ry/atom. Number 7: DOS(E_F) 3.86 states/eV per cell, calculated total energy -0.19780 Ry/atom. Number 8: DOS(E_F) 9.23 states/eV per cell, calculated total energy -0.43215 Ry/atom.